# 1
The following is a DFT calculation (GGA-PBE) of a relaxed structure of Sc2MnPt. Values from VASP.

Quantum ESPRESSO input file:
```
&SYSTEM
  ibrav = 0, nat = 4, ntyp = 3
/
ATOMIC_SPECIES
Mn 54.94 Mn.upf
Pt 195.08 Pt.upf
Sc 44.96 Sc.upf
CELL_PARAMETERS angstrom
-4.534 -0.743 0.505
-1.686 -4.294 -0.299
-1.586 -2.129 3.784
ATOMIC_POSITIONS angstrom
Mn -3.903 -3.583 1.995
Pt -5.854 -5.375 2.992
Sc 0.000 0.000 0.000
Sc -1.951 -1.792 0.997
```

Values from the calculation:
* crystal system: cubic

# 2
The following is a DFT calculation (GGA-PBE) of a relaxed structure of ScMnPt2. Values from VASP.

Quantum ESPRESSO input file:
```
&SYSTEM
  ibrav = 0, nat = 4, ntyp = 3
/
ATOMIC_SPECIES
Mn 54.94 Mn.upf
Pt 195.08 Pt.upf
Sc 44.96 Sc.upf
CELL_PARAMETERS angstrom
-2.216 1.683 2.176
1.485 -1.620 2.766
3.622 4.146 0.482
ATOMIC_POSITIONS angstrom
Mn 2.506 3.318 2.853
Pt 3.468 3.969 0.462
Pt 0.645 1.189 2.606
Sc 1.706 1.953 0.227
```

Values from the calculation:
* crystal system: tetragonal

# 3
The following is a DFT calculation (GGA-PBE) of a relaxed structure of Sc2MnPt. Values from VASP.

Quantum ESPRESSO input file:
```
&SYSTEM
  ibrav = 0, nat = 4, ntyp = 3
/
ATOMIC_SPECIES
Mn 54.94 Mn.upf
Pt 195.08 Pt.upf
Sc 44.96 Sc.upf
CELL_PARAMETERS angstrom
-1.777 -3.272 -2.263
0.030 -1.944 2.787
-4.618 0.697 2.619
ATOMIC_POSITIONS angstrom
Mn -2.184 -1.027 3.199
Pt -4.437 -2.169 2.426
Sc -4.246 -1.248 5.139
Sc -2.380 -1.945 0.487
```

Values from the calculation:
* crystal system: monoclinic

# 4
The following is a DFT calculation (GGA-PBE) of a relaxed structure of ScMnPt6. Values from VASP.

Quantum ESPRESSO input file:
```
&SYSTEM
  ibrav = 0, nat = 8, ntyp = 3
/
ATOMIC_SPECIES
Sc 44.96 Sc.upf
Mn 54.94 Mn.upf
Pt 195.08 Pt.upf
CELL_PARAMETERS angstrom
3.968 0.000 0.000
0.000 3.968 0.000
0.000 0.000 7.948
ATOMIC_POSITIONS angstrom
Sc 0.000 0.000 0.000
Mn 0.000 0.000 3.974
Pt 1.984 1.984 0.000
Pt 1.984 1.984 3.974
Pt 1.984 0.000 2.024
Pt 1.984 0.000 5.924
Pt 0.000 1.984 2.024
Pt 0.000 1.984 5.924
```

Values from the calculation:
* crystal system: tetragonal

# 5
The following is a DFT calculation (GGA-PBE) of a relaxed structure of ScMn2Pt. Values from VASP.

Quantum ESPRESSO input file:
```
&SYSTEM
  ibrav = 0, nat = 4, ntyp = 3
/
ATOMIC_SPECIES
Mn 54.94 Mn.upf
Pt 195.08 Pt.upf
Sc 44.96 Sc.upf
CELL_PARAMETERS angstrom
-5.044 -1.357 0.014
-3.369 -3.090 2.527
-2.313 2.009 2.927
ATOMIC_POSITIONS angstrom
Mn -2.412 1.904 2.921
Mn -5.265 -1.114 2.740
Pt -8.045 -1.829 4.101
Sc -2.682 -0.610 1.367
```

Values from the calculation:
* crystal system: orthorhombic

# 6
The following is a DFT calculation (GGA-PBE) of a relaxed structure of Sc2MnPt. Values from VASP.

Quantum ESPRESSO input file:
```
&SYSTEM
  ibrav = 0, nat = 8, ntyp = 3
/
ATOMIC_SPECIES
Sc 44.96 Sc.upf
Mn 54.94 Mn.upf
Pt 195.08 Pt.upf
CELL_PARAMETERS angstrom
-3.938 -1.057 0.269
0.951 -3.820 -1.095
-0.272 -4.703 8.547
ATOMIC_POSITIONS angstrom
Sc -2.425 -2.318 2.169
Sc 0.049 -3.691 1.485
Sc -1.328 -5.342 6.105
Sc -2.814 -7.809 5.684
Mn -1.493 -2.439 -0.413
Mn -0.407 -5.481 3.519
Pt 0.000 0.000 0.000
Pt -2.851 -4.100 4.202
```

Values from the calculation:
* crystal system: tetragonal

# 7
The following is a DFT calculation (GGA-PBE) of a relaxed structure of Sc2MnPt. Values from VASP.

Quantum ESPRESSO input file:
```
&SYSTEM
  ibrav = 0, nat = 4, ntyp = 3
/
ATOMIC_SPECIES
Mn 54.94 Mn.upf
Pt 195.08 Pt.upf
Sc 44.96 Sc.upf
CELL_PARAMETERS angstrom
-2.994 7.188 -4.320
-4.396 7.624 -1.359
-1.284 8.610 -1.875
ATOMIC_POSITIONS angstrom
Mn -4.252 11.484 -3.704
Pt -6.528 17.630 -5.686
Sc -0.139 0.376 -0.121
Sc -2.090 5.645 -1.820
```

Values from the calculation:
* crystal system: trigonal

# 8
The following is a DFT calculation (GGA-PBE) of a relaxed structure of Sc2MnPt. Values from VASP.

Quantum ESPRESSO input file:
```
&SYSTEM
  ibrav = 0, nat = 4, ntyp = 3
/
ATOMIC_SPECIES
Sc 44.96 Sc.upf
Mn 54.94 Mn.upf
Pt 195.08 Pt.upf
CELL_PARAMETERS angstrom
-3.273 0.387 -0.185
-0.465 -1.950 4.158
0.378 4.148 1.988
ATOMIC_POSITIONS angstrom
Sc 0.189 2.074 0.994
Sc -0.233 -0.975 2.079
Mn -1.680 1.292 2.981
Pt -1.636 0.193 -0.092
```

Values from the calculation:
* crystal system: tetragonal

# 9
The following is a DFT calculation (GGA-PBE) of a relaxed structure of ScMnPt2. Values from VASP.

Quantum ESPRESSO input file:
```
&SYSTEM
  ibrav = 0, nat = 4, ntyp = 3
/
ATOMIC_SPECIES
Mn 54.94 Mn.upf
Pt 195.08 Pt.upf
Sc 44.96 Sc.upf
CELL_PARAMETERS angstrom
-1.513 0.904 4.158
-3.590 -2.206 1.626
0.521 -3.037 3.302
ATOMIC_POSITIONS angstrom
Mn -2.291 -2.169 4.543
Pt 0.000 0.000 0.000
Pt -1.145 -1.085 2.272
Sc -3.436 -3.254 6.815
```

Values from the calculation:
* crystal system: cubic

# 10
The following is a DFT calculation (GGA-PBE) of a relaxed structure of ScMn3Pt. Values from VASP.

Quantum ESPRESSO input file:
```
&SYSTEM
  ibrav = 0, nat = 5, ntyp = 3
/
ATOMIC_SPECIES
Sc 44.96 Sc.upf
Mn 54.94 Mn.upf
Pt 195.08 Pt.upf
CELL_PARAMETERS angstrom
-2.125 -4.225 -0.981
3.744 -1.235 -2.791
2.190 -1.988 3.818
ATOMIC_POSITIONS angstrom
Sc 1.905 -3.724 0.023
Mn 1.872 -0.618 -1.395
Mn 1.095 -0.994 1.909
Mn -1.063 -2.113 -0.491
Pt 0.000 0.000 0.000
```

Values from the calculation:
* crystal system: cubic
* E above lowest polymorph: 0 meV per atom

# 11
The following is a DFT calculation (GGA-PBE) of a relaxed structure of ScMn2Pt. Values from VASP.

Quantum ESPRESSO input file:
```
&SYSTEM
  ibrav = 0, nat = 8, ntyp = 3
/
ATOMIC_SPECIES
Sc 44.96 Sc.upf
Mn 54.94 Mn.upf
Pt 195.08 Pt.upf
CELL_PARAMETERS angstrom
7.096 0.000 0.000
0.000 7.096 0.000
3.548 3.548 2.508
ATOMIC_POSITIONS angstrom
Sc 3.548 3.548 0.000
Sc 3.548 7.096 1.254
Mn 5.506 1.774 0.627
Mn 1.591 5.322 0.627
Mn 5.322 5.139 1.881
Mn 8.870 9.054 1.881
Pt 0.000 0.000 0.000
Pt 7.096 3.548 1.254
```

Values from the calculation:
* crystal system: tetragonal

# 12
The following is a DFT calculation (GGA-PBE) of a relaxed structure of ScMn2Pt. Values from VASP.

Quantum ESPRESSO input file:
```
&SYSTEM
  ibrav = 0, nat = 4, ntyp = 3
/
ATOMIC_SPECIES
Mn 54.94 Mn.upf
Pt 195.08 Pt.upf
Sc 44.96 Sc.upf
CELL_PARAMETERS angstrom
3.169 0.000 0.000
0.000 3.169 0.000
0.000 0.000 6.267
ATOMIC_POSITIONS angstrom
Mn 0.000 0.000 0.218
Mn 1.585 1.585 1.475
Pt 0.000 0.000 3.018
Sc 1.585 1.585 4.689
```

Values from the calculation:
* crystal system: tetragonal

Calculated ΔE_f (eV/f.u.), listed in the same order as above: -1.69 -2.58 -2.09 -5.62 -1.19 0.03 -0.45 -2.40 -2.31 3.00 1.66 -1.44